A plane-wave DFT calculation with PBE-GGA was carried out for an optimized crystal structure of AsRuS2.

Cell and atoms, written as CIF:
```
data_AsRuS2
_cell_length_a 3.4566
_cell_length_b 3.4566
_cell_length_c 22.7139
_cell_angle_alpha 90.00
_cell_angle_beta 90.00
_cell_angle_gamma 120.00
_symmetry_space_group_name_H-M 'R -3 m'
_symmetry_Int_Tables_number 166
_symmetry_space_group_name_Hall '-R 3 2"'
loop_
_atom_site_label
_atom_site_fract_x
_atom_site_fract_y
_atom_site_fract_z
_atom_site_occupancy
As1 0.0000 0.0000 0.0000 1
Ru1 0.0000 0.0000 0.5000 1
S1 0.0000 0.0000 0.1112 1
```

Calculated values
For the energy relative to the elements, uncorrected, the calculation gives 0.01 eV per atom. As for the volume: 19.6 Å³/atom. The calculation puts the total DFT energy (no corrections) at -5.54 eV per atom.